# LiZnFeAg | the Open Quantum Materials Database | PBE-GGA | optimized geometry
data_LiZnFeAg
_chemical_formula_sum 'Li4 Zn4 Fe4 Ag4'
_space_group_name_H-M_alt 'F -4 3 m'
_space_group_IT_number 216
_space_group_name_Hall 'F -4 2 3'
_cell_length_a 6.118
_cell_length_b 6.118
_cell_length_c 6.118
_cell_angle_alpha 90.00
_cell_angle_beta 90.00
_cell_angle_gamma 90.00
loop_
_atom_site_label
_atom_site_type_symbol
_atom_site_fract_x
_atom_site_fract_y
_atom_site_fract_z
_atom_site_occupancy
Li1 Li 0.000 0.000 0.000 1
Zn1 Zn 0.000 0.000 0.500 1
Fe1 Fe 0.250 0.250 0.750 1
Ag1 Ag 0.250 0.250 0.250 1
# Relative energy among the computed polymorphs in meV/atom: 38
# V in Å³/cell: 229.0
# Raw total energy in eV/atom: -3.44

***

# LiZnFeAg | the Open Quantum Materials Database | PBE-GGA | optimized geometry
data_LiZnFeAg
_chemical_formula_sum 'Li4 Zn4 Fe4 Ag4'
_space_group_name_H-M_alt 'F -4 3 m'
_space_group_IT_number 216
_space_group_name_Hall 'F -4 2 3'
_cell_length_a 6.127
_cell_length_b 6.127
_cell_length_c 6.127
_cell_angle_alpha 90.00
_cell_angle_beta 90.00
_cell_angle_gamma 90.00
loop_
_atom_site_label
_atom_site_type_symbol
_atom_site_fract_x
_atom_site_fract_y
_atom_site_fract_z
_atom_site_occupancy
Li1 Li 0.000 0.000 0.000 1
Zn1 Zn 0.250 0.250 0.250 1
Fe1 Fe 0.000 0.000 0.500 1
Ag1 Ag 0.250 0.250 0.750 1
# Relative energy among the computed polymorphs in meV/atom: 0
# V in Å³/cell: 230.0
# Raw total energy in eV/atom: -3.48

***

# LuFe2Ag | the Open Quantum Materials Database | PBE-GGA | optimized geometry
data_LuFe2Ag
_chemical_formula_sum 'Lu4 Fe8 Ag4'
_space_group_name_H-M_alt 'F -4 3 m'
_space_group_IT_number 216
_space_group_name_Hall 'F -4 2 3'
_cell_length_a 6.417
_cell_length_b 6.417
_cell_length_c 6.417
_cell_angle_alpha 90.00
_cell_angle_beta 90.00
_cell_angle_gamma 90.00
loop_
_atom_site_label
_atom_site_type_symbol
_atom_site_fract_x
_atom_site_fract_y
_atom_site_fract_z
_atom_site_occupancy
Lu1 Lu 0.000 0.000 0.000 1
Fe1 Fe 0.000 0.000 0.500 1
Fe2 Fe 0.250 0.250 0.750 1
Ag1 Ag 0.250 0.250 0.250 1
# V in Å³/cell: 264.3
# Raw total energy in eV/atom: -5.79

***

# LuFeAg2 | the Open Quantum Materials Database | PBE-GGA | optimized geometry
data_LuFeAg2
_chemical_formula_sum 'Lu4 Fe4 Ag8'
_space_group_name_H-M_alt 'F -4 3 m'
_space_group_IT_number 216
_space_group_name_Hall 'F -4 2 3'
_cell_length_a 6.654
_cell_length_b 6.654
_cell_length_c 6.654
_cell_angle_alpha 90.00
_cell_angle_beta 90.00
_cell_angle_gamma 90.00
loop_
_atom_site_label
_atom_site_type_symbol
_atom_site_fract_x
_atom_site_fract_y
_atom_site_fract_z
_atom_site_occupancy
Lu1 Lu 0.000 0.000 0.000 1
Fe1 Fe 0.250 0.250 0.250 1
Ag1 Ag 0.000 0.000 0.500 1
Ag2 Ag 0.250 0.250 0.750 1
# V in Å³/cell: 294.6
# Raw total energy in eV/atom: -4.49

***

Question: Look up the V of the third one.
Answer: 264.3 Å³/cell

***

Question: Among the records above, which one has the lowest raw total energy?
Answer: LuFe2Ag